[1]
# YAsIr2, relaxed, DFT PBE-GGA
data_YAsIr2
_symmetry_space_group_name_H-M 'I -4 2 d'
_symmetry_Int_Tables_number 122
_symmetry_space_group_name_Hall 'I -4 2bw'
_cell_length_a 7.3084
_cell_length_b 7.3084
_cell_length_c 5.8482
_cell_angle_alpha 90.00
_cell_angle_beta 90.00
_cell_angle_gamma 90.00
loop_
_atom_site_label
_atom_site_fract_x
_atom_site_fract_y
_atom_site_fract_z
Y1 0.0000 0.0000 0.0000
As1 0.0000 0.0000 0.5000
Ir1 0.1860 0.7500 0.6250
# ΔH_f (0 K) ... -23 kJ per mole of atoms
# Magnetization ... 0.0 μB/f.u.
# D(E_F) ... 10.7 states/eV/cell

***

[2]
# YAsIr2, relaxed, DFT PBE-GGA
data_YAsIr2
_symmetry_space_group_name_H-M 'P m m m'
_symmetry_Int_Tables_number 47
_symmetry_space_group_name_Hall '-P 2 2'
_cell_length_a 3.7736
_cell_length_b 4.0071
_cell_length_c 5.5880
_cell_angle_alpha 90.00
_cell_angle_beta 90.00
_cell_angle_gamma 90.00
loop_
_atom_site_label
_atom_site_fract_x
_atom_site_fract_y
_atom_site_fract_z
Y1 0.0000 0.0000 0.0000
As1 0.0000 0.5000 0.5000
Ir1 0.5000 0.5000 0.2349
# ΔH_f (0 K) ... -43 kJ per mole of atoms
# Magnetization ... 0.0 μB/f.u.
# D(E_F) ... 2.5 states/eV/cell

***

[3]
# Y2As2Ir, relaxed, DFT PBE-GGA
data_Y2As2Ir
_symmetry_space_group_name_H-M 'P 4/m b m'
_symmetry_Int_Tables_number 127
_symmetry_space_group_name_Hall '-P 4 2ab'
_cell_length_a 6.8929
_cell_length_b 6.8929
_cell_length_c 4.2628
_cell_angle_alpha 90.00
_cell_angle_beta 90.00
_cell_angle_gamma 90.00
loop_
_atom_site_label
_atom_site_fract_x
_atom_site_fract_y
_atom_site_fract_z
Y1 0.1686 0.3314 0.0000
As1 0.1457 0.6457 0.5000
Ir1 0.0000 0.0000 0.5000
# ΔH_f (0 K) ... -90 kJ per mole of atoms
# Magnetization ... 0.0 μB/f.u.
# D(E_F) ... 7.2 states/eV/cell